Entry 1:
A plane-wave DFT calculation with PBE-GGA was carried out for crystalline Tl4HgI4 at its relaxed geometry.

Raw formation energy: -53.0 kJ per mole of atoms
Density of states at the Fermi level: 0.00 states/eV/f.u.
Total magnetization: 0.00 μB/atom

Cell lengths 7.017, 8.725, 8.445 Å; angles 83.32, 65.45, 66.29 degrees
Element x y z (fractional)
1 Tl 0.695 0.413 0.197
2 Tl 0.305 0.587 0.803
3 Tl 0.102 0.211 0.585
4 Tl 0.898 0.789 0.415
5 Hg 0.000 0.000 0.000
6 I 0.795 0.612 0.799
7 I 0.205 0.388 0.201
8 I 0.398 0.790 0.414
9 I 0.602 0.210 0.586

***

Entry 2:
A plane-wave DFT calculation with PBE-GGA was carried out for crystalline Tl2Hg2I at its relaxed geometry.

Raw formation energy: -16.8 kJ per mole of atoms
Density of states at the Fermi level: 2.89 states/eV/f.u.
Total magnetization: 0.00 μB/atom
Energy relative to the lowest polymorph listed for this composition: 0.010 eV/atom

Cell lengths 4.505, 4.505, 9.106 Å; angles 75.68, 75.68, 90.00 degrees
Element x y z (fractional)
1 I 0.000 0.000 0.000
2 Tl 0.402 0.402 0.196
3 Tl 0.598 0.598 0.804
4 Hg 0.750 0.250 0.500
5 Hg 0.250 0.750 0.500

***

Entry 3:
A plane-wave DFT calculation with PBE-GGA was carried out for crystalline Tl3HgI3 at its relaxed geometry.

Raw formation energy: -50.9 kJ per mole of atoms
Density of states at the Fermi level: 0.00 states/eV/f.u.
Total magnetization: 0.00 μB/atom
Energy relative to the lowest polymorph listed for this composition: 0.000 eV/atom

Cell lengths 9.268, 9.268, 9.268 Å; angles 68.29, 68.29, 68.29 degrees
Element x y z (fractional)
1 Tl 0.744 0.435 0.065
2 Tl 0.065 0.744 0.435
3 Tl 0.435 0.065 0.744
4 Tl 0.565 0.935 0.256
5 Tl 0.935 0.256 0.565
6 Tl 0.256 0.565 0.935
7 Hg 0.325 0.325 0.325
8 Hg 0.675 0.675 0.675
9 I 0.612 0.232 0.895
10 I 0.232 0.895 0.612
11 I 0.895 0.612 0.232
12 I 0.105 0.388 0.768
13 I 0.768 0.105 0.388
14 I 0.388 0.768 0.105

***

Look up the raw formation energy of the second one. -16.8 kJ per mole of atoms